1.
# Tb2Nd3Sm6Sc PBE relaxed
# formation energy: 28 meV per atom
data_Tb2Nd3Sm6Sc
_chemical_formula_sum 'Tb4 Nd6 Sm12 Sc2'
_symmetry_space_group_name_H-M 'C 1 2/m 1'
_symmetry_Int_Tables_number 12
_cell_length_a 6.245
_cell_length_b 10.817
_cell_length_c 11.923
_cell_angle_alpha 90.00
_cell_angle_beta 100.05
_cell_angle_gamma 90.00
loop_
_symmetry_equiv_pos_as_xyz
'x,y,z'
'-x,-y,-z'
'-x,y,-z'
'x,-y,z'
'x+1/2,y+1/2,z'
'-x+1/2,-y+1/2,-z'
'-x+1/2,y+1/2,-z'
'x+1/2,-y+1/2,z'
loop_
_atom_site_label
_atom_site_fract_x
_atom_site_fract_y
_atom_site_fract_z
_atom_site_occupancy
Tb1 0.000 0.167 0.000 1
Nd1 0.000 0.000 0.500 1
Nd2 0.000 0.333 0.500 1
Sm1 0.246 0.335 0.244 1
Sm2 0.249 0.500 0.756 1
Sc1 0.000 0.500 0.000 1

=====

2.
# ZrMnSb2 PBE relaxed
# formation energy (no corrections): -0.3491 eV/atom
data_ZrMnSb2
_chemical_formula_sum 'Zr1 Mn1 Sb2'
_symmetry_space_group_name_H-M 'P -3 m 1'
_symmetry_Int_Tables_number 164
_symmetry_space_group_name_Hall '-P 3 2"'
_cell_length_a 4.0267
_cell_length_b 4.0267
_cell_length_c 6.5274
_cell_angle_alpha 90.00
_cell_angle_beta 90.00
_cell_angle_gamma 120.00
loop_
_atom_site_label
_atom_site_fract_x
_atom_site_fract_y
_atom_site_fract_z
_atom_site_occupancy
Zr1 0.0000 0.0000 0.0000 1
Mn1 0.0000 0.0000 0.5000 1
Sb1 0.3333 0.6667 0.2780 1

=====

3.
# LiI PBE relaxed
# formation energy (no corrections): -1.2158 eV/atom
# E above lowest polymorph: 1.4 meV/atom
data_LiI
_chemical_formula_sum 'Li2 I2'
_symmetry_space_group_name_H-M 'I -4 m 2'
_symmetry_Int_Tables_number 119
_symmetry_space_group_name_Hall 'I -4 -2'
_cell_length_a 4.562
_cell_length_b 4.562
_cell_length_c 6.427
_cell_angle_alpha 90.00
_cell_angle_beta 90.00
_cell_angle_gamma 90.00
loop_
_atom_site_label
_atom_site_fract_x
_atom_site_fract_y
_atom_site_fract_z
_atom_site_occupancy
Li1 0.000 0.000 0.000 1
I1 0.000 0.500 0.250 1

=====

4.
# BaScIn PBE relaxed
# formation energy: -308 meV per atom
# E above lowest polymorph: 0.0 meV/atom
data_BaScIn
_chemical_formula_sum 'Ba2 Sc2 In2'
_symmetry_space_group_name_H-M 'P 4/n m m'
_symmetry_Int_Tables_number 129
_cell_length_a 5.123
_cell_length_b 5.123
_cell_length_c 8.046
_cell_angle_alpha 90.00
_cell_angle_beta 90.00
_cell_angle_gamma 90.00
loop_
_symmetry_equiv_pos_as_xyz
'x,y,z'
'-x,-y,-z'
'-y+1/2,x,z'
'y+1/2,-x,-z'
'-x+1/2,-y+1/2,z'
'x+1/2,y+1/2,-z'
'y,-x+1/2,z'
'-y,x+1/2,-z'
'x+1/2,-y,-z'
'-x+1/2,y,z'
'-y,-x,-z'
'y,x,z'
'-x,y+1/2,-z'
'x,-y+1/2,z'
'y+1/2,x+1/2,-z'
'-y+1/2,-x+1/2,z'
loop_
_atom_site_label
_atom_site_fract_x
_atom_site_fract_y
_atom_site_fract_z
_atom_site_occupancy
Ba1 0.250 0.250 0.149 1
Sc1 0.250 0.750 0.500 1
In1 0.250 0.250 0.696 1

=====

5.
# ZnHN PBE relaxed
# E above lowest polymorph: 427.7 meV/atom
data_ZnHN
_chemical_formula_sum 'Zn4 H4 N4'
_symmetry_space_group_name_H-M 'P n m a'
_symmetry_Int_Tables_number 62
_cell_length_a 6.464
_cell_length_b 2.700
_cell_length_c 6.610
_cell_angle_alpha 90.00
_cell_angle_beta 90.00
_cell_angle_gamma 90.00
loop_
_symmetry_equiv_pos_as_xyz
'x,y,z'
'-x,-y,-z'
'-x+1/2,-y,z+1/2'
'x+1/2,y,-z+1/2'
'x+1/2,-y+1/2,-z+1/2'
'-x+1/2,y+1/2,z+1/2'
'-x,y+1/2,-z'
'x,-y+1/2,z'
loop_
_atom_site_label
_atom_site_fract_x
_atom_site_fract_y
_atom_site_fract_z
_atom_site_occupancy
Zn1 0.097 0.250 0.195 1
H1 0.208 0.250 0.910 1
N1 0.189 0.750 0.902 1

=====

6.
# Ho4ZrZn5 PBE relaxed
# formation energy: -315 meV per atom
data_Ho4ZrZn5
_chemical_formula_sum 'Ho4 Zr1 Zn5'
_symmetry_space_group_name_H-M 'P 4/m m m'
_symmetry_Int_Tables_number 123
_symmetry_space_group_name_Hall '-P 4 2'
_cell_length_a 3.515
_cell_length_b 3.515
_cell_length_c 17.471
_cell_angle_alpha 90.00
_cell_angle_beta 90.00
_cell_angle_gamma 90.00
loop_
_atom_site_label
_atom_site_fract_x
_atom_site_fract_y
_atom_site_fract_z
_atom_site_occupancy
Ho1 0.000 0.000 0.103 1
Ho2 0.000 0.000 0.308 1
Zr1 0.000 0.000 0.500 1
Zn1 0.500 0.500 0.000 1
Zn2 0.500 0.500 0.206 1
Zn3 0.500 0.500 0.412 1